Pr2SbRh2 | PBE | optimized geometry

a b c (Å): 5.7110 5.7110 5.7110
angles (deg): 133.36 117.46 81.51
With the nearest neighbours (Å) after each atom.
Positions (direct):
Pr (0.2039, 0.2039, 0.0000)  6 Rh 3.02-3.17
Pr (0.7961, 0.7961, 0.0000)  6 Rh 3.02-3.17
Sb (0.5000, 0.0000, 0.5000)  4 Rh 2.77
Rh (0.2293, 0.5000, 0.7293)  1 Rh 2.72, 2 Sb 2.77, 2 Pr 3.02
Rh (0.7707, 0.5000, 0.2707)  1 Rh 2.72, 2 Sb 2.77, 2 Pr 3.02

## Properties
Its space group is Immm, No. 71. The calculation puts the raw total energy at -6.5103 eV per atom. The value obtained for the energy above the most stable polymorph in this dataset is 0.4 kJ/mol of atoms. Its uncorrected formation energy is -0.833 eV/atom.